# Be2FeF GGA+U optimized geometry
# Fermi-level density of states (states/eV/f.u.): 0.247
# Energy relative to the lowest polymorph listed for this composition (kJ/mol of atoms): 0.0
# Size of the total moment (μB per cell): 11.82
data_Be2FeF
_symmetry_space_group_name_H-M 'I -4 2 d'
_symmetry_Int_Tables_number 122
_symmetry_space_group_name_Hall 'I -4 2bw'
_cell_length_a 5.2532
_cell_length_b 5.2532
_cell_length_c 6.5621
_cell_angle_alpha 90.00
_cell_angle_beta 90.00
_cell_angle_gamma 90.00
loop_
_atom_site_label
_atom_site_fract_x
_atom_site_fract_y
_atom_site_fract_z
_atom_site_occupancy
Be1 0.1627 0.7500 0.1250 1
Fe1 0.0000 0.0000 0.5000 1
F1 0.0000 0.0000 0.0000 1